[1]
A plane-wave DFT calculation with GGA-PBE was carried out for a geometry-optimized CeDy2F11 structure.

The structure in CIF format:
```
data_CeDy2F11
_chemical_formula_sum 'Ce4 Dy8 F44'
_cell_length_a 8.334
_cell_length_b 10.249
_cell_length_c 11.163
_cell_angle_alpha 90.00
_cell_angle_beta 90.00
_cell_angle_gamma 90.00
_space_group_name_H-M_alt 'I b a m'
_space_group_IT_number 72
_space_group_name_Hall '-I 2 2c'
loop_
_atom_site_label
_atom_site_fract_x
_atom_site_fract_y
_atom_site_fract_z
_atom_site_occupancy
Ce1 0.000 0.000 0.250 1
Dy1 0.160 0.310 0.000 1
F1 0.000 0.500 0.000 1
F2 0.100 0.170 0.142 1
F3 0.110 0.308 0.500 1
F4 0.206 0.078 0.365 1
```

Calculated values
Uncorrected formation energy, meV/atom: -3656

=====

[2]
A plane-wave DFT calculation with GGA-PBE was carried out for a geometry-optimized Ce2DyF11 structure.

The structure in CIF format:
```
data_Ce2DyF11
_chemical_formula_sum 'Ce8 Dy4 F44'
_cell_length_a 8.388
_cell_length_b 10.396
_cell_length_c 10.966
_cell_angle_alpha 90.00
_cell_angle_beta 90.00
_cell_angle_gamma 90.00
_space_group_name_H-M_alt 'I b a m'
_space_group_IT_number 72
_space_group_name_Hall '-I 2 2c'
loop_
_atom_site_label
_atom_site_fract_x
_atom_site_fract_y
_atom_site_fract_z
_atom_site_occupancy
Ce1 0.149 0.183 0.000 1
Dy1 0.000 0.500 0.250 1
F1 0.000 0.000 0.000 1
F2 0.093 0.327 0.142 1
F3 0.126 0.212 0.500 1
F4 0.215 0.427 0.363 1
```

Calculated values
Uncorrected formation energy, meV/atom: -3839

=====

[3]
A plane-wave DFT calculation with GGA-PBE was carried out for a geometry-optimized CeDy2Fe9 structure.

The structure in CIF format:
```
data_CeDy2Fe9
_chemical_formula_sum 'Ce3 Dy6 Fe27'
_cell_length_a 5.0696
_cell_length_b 5.0696
_cell_length_c 24.5789
_cell_angle_alpha 90.00
_cell_angle_beta 90.00
_cell_angle_gamma 120.00
_space_group_name_H-M_alt 'R -3 m'
_space_group_IT_number 166
_space_group_name_Hall '-R 3 2"'
loop_
_atom_site_label
_atom_site_fract_x
_atom_site_fract_y
_atom_site_fract_z
_atom_site_occupancy
Ce1 0.0000 0.0000 0.0000 1
Dy1 0.0000 0.0000 0.1417 1
Fe1 0.0000 0.0000 0.3324 1
Fe2 0.0000 0.0000 0.5000 1
Fe3 0.0011 0.5006 0.0825 1
```

Calculated values
DFT formation energy, eV/atom: -0.054

=====

[4]
A plane-wave DFT calculation with GGA-PBE was carried out for a geometry-optimized CeDy2Fe2 structure.

The structure in CIF format:
```
data_CeDy2Fe2
_chemical_formula_sum 'Ce4 Dy8 Fe8'
_cell_length_a 9.586
_cell_length_b 5.789
_cell_length_c 7.549
_cell_angle_alpha 90.00
_cell_angle_beta 99.43
_cell_angle_gamma 90.00
_space_group_name_H-M_alt 'C 1 2/c 1'
_space_group_IT_number 15
_space_group_name_Hall '-C 2yc'
loop_
_atom_site_label
_atom_site_fract_x
_atom_site_fract_y
_atom_site_fract_z
_atom_site_occupancy
Ce1 0.000 0.114 0.250 1
Dy1 0.152 0.380 0.650 1
Fe1 0.136 0.135 0.015 1
```

Calculated values
DFT formation energy, eV/atom: -0.038

=====

[5]
A plane-wave DFT calculation with GGA-PBE was carried out for a geometry-optimized CeDy3Fe structure.

The structure in CIF format:
```
data_CeDy3Fe
_chemical_formula_sum 'Ce1 Dy3 Fe1'
_cell_length_a 5.267
_cell_length_b 5.267
_cell_length_c 5.267
_cell_angle_alpha 90.00
_cell_angle_beta 90.00
_cell_angle_gamma 90.00
_space_group_name_H-M_alt 'P m -3 m'
_space_group_IT_number 221
_space_group_name_Hall '-P 4 2 3'
loop_
_atom_site_label
_atom_site_fract_x
_atom_site_fract_y
_atom_site_fract_z
_atom_site_occupancy
Ce1 0.000 0.000 0.000 1
Dy1 0.000 0.500 0.500 1
Fe1 0.500 0.500 0.500 1
```

Calculated values
DFT formation energy, eV/atom: 0.182

=====

[6]
A plane-wave DFT calculation with GGA-PBE was carried out for a geometry-optimized CeDy2Fe structure.

The structure in CIF format:
```
data_CeDy2Fe
_chemical_formula_sum 'Ce1 Dy2 Fe1'
_cell_length_a 3.331
_cell_length_b 3.331
_cell_length_c 9.000
_cell_angle_alpha 90.00
_cell_angle_beta 90.00
_cell_angle_gamma 90.00
_space_group_name_H-M_alt 'P 4/m m m'
_space_group_IT_number 123
_space_group_name_Hall '-P 4 2'
loop_
_atom_site_label
_atom_site_fract_x
_atom_site_fract_y
_atom_site_fract_z
_atom_site_occupancy
Ce1 0.000 0.000 0.000 1
Dy1 0.500 0.500 0.321 1
Fe1 0.000 0.000 0.500 1
```

Calculated values
Distance to the lowest polymorph of the same formula, meV per atom: 254
DFT formation energy, eV/atom: 0.130

=====

[7]
A plane-wave DFT calculation with GGA-PBE was carried out for a geometry-optimized Ce3DyFe structure.

The structure in CIF format:
```
data_Ce3DyFe
_chemical_formula_sum 'Ce3 Dy1 Fe1'
_cell_length_a 5.183
_cell_length_b 5.183
_cell_length_c 5.183
_cell_angle_alpha 90.00
_cell_angle_beta 90.00
_cell_angle_gamma 90.00
_space_group_name_H-M_alt 'P m -3 m'
_space_group_IT_number 221
_space_group_name_Hall '-P 4 2 3'
loop_
_atom_site_label
_atom_site_fract_x
_atom_site_fract_y
_atom_site_fract_z
_atom_site_occupancy
Ce1 0.000 0.000 0.500 1
Dy1 0.500 0.500 0.500 1
Fe1 0.000 0.000 0.000 1
```

Calculated values
DFT formation energy, eV/atom: 0.109

=====

[8]
A plane-wave DFT calculation with GGA-PBE was carried out for a geometry-optimized CeDyFe10 structure.

The structure in CIF format:
```
data_CeDyFe10
_chemical_formula_sum 'Ce1 Dy1 Fe10'
_cell_length_a 3.983
_cell_length_b 5.001
_cell_length_c 8.629
_cell_angle_alpha 90.00
_cell_angle_beta 90.00
_cell_angle_gamma 90.00
_space_group_name_H-M_alt 'P m m m'
_space_group_IT_number 47
_space_group_name_Hall '-P 2 2'
loop_
_atom_site_label
_atom_site_fract_x
_atom_site_fract_y
_atom_site_fract_z
_atom_site_occupancy
Ce1 0.000 0.000 0.000 1
Dy1 0.000 0.500 0.500 1
Fe1 0.000 0.000 0.332 1
Fe2 0.000 0.500 0.165 1
Fe3 0.500 0.000 0.500 1
Fe4 0.500 0.252 0.253 1
Fe5 0.500 0.500 0.000 1
```

Calculated values
DFT formation energy, eV/atom: -0.029

=====

[9]
A plane-wave DFT calculation with GGA-PBE was carried out for a geometry-optimized CeDy2Fe structure.

The structure in CIF format:
```
data_CeDy2Fe
_chemical_formula_sum 'Ce3 Dy6 Fe3'
_cell_length_a 3.3498
_cell_length_b 3.3498
_cell_length_c 31.6244
_cell_angle_alpha 90.00
_cell_angle_beta 90.00
_cell_angle_gamma 120.00
_space_group_name_H-M_alt 'R -3 m'
_space_group_IT_number 166
_space_group_name_Hall '-R 3 2"'
loop_
_atom_site_label
_atom_site_fract_x
_atom_site_fract_y
_atom_site_fract_z
_atom_site_occupancy
Ce1 0.0000 0.0000 0.0000 1
Dy1 0.0000 0.0000 0.1055 1
Fe1 0.0000 0.0000 0.5000 1
```

Calculated values
Distance to the lowest polymorph of the same formula, meV per atom: 460
DFT formation energy, eV/atom: 0.336

=====

[10]
A plane-wave DFT calculation with GGA-PBE was carried out for a geometry-optimized Ce2DyFe9 structure.

The structure in CIF format:
```
data_Ce2DyFe9
_chemical_formula_sum 'Ce6 Dy3 Fe27'
_cell_length_a 5.0556
_cell_length_b 5.0556
_cell_length_c 24.6329
_cell_angle_alpha 90.00
_cell_angle_beta 90.00
_cell_angle_gamma 120.00
_space_group_name_H-M_alt 'R -3 m'
_space_group_IT_number 166
_space_group_name_Hall '-R 3 2"'
loop_
_atom_site_label
_atom_site_fract_x
_atom_site_fract_y
_atom_site_fract_z
_atom_site_occupancy
Ce1 0.0000 0.0000 0.1434 1
Dy1 0.0000 0.0000 0.0000 1
Fe1 0.0000 0.0000 0.3328 1
Fe2 0.0000 0.0000 0.5000 1
Fe3 0.0018 0.5009 0.0808 1
```

Calculated values
DFT formation energy, eV/atom: -0.071

=====

Number 1: uncorrected energy -347.6 eV for the cell shown. Number 2: uncorrected energy -363.2 eV for the cell shown. Number 3: uncorrected energy -275.9 eV for the cell shown. Number 4: uncorrected energy -129.0 eV for the cell shown. Number 5: uncorrected energy -27.3 eV for the cell shown. Number 6: uncorrected energy -23.1 eV for the cell shown. Number 7: uncorrected energy -30.3 eV for the cell shown. Number 8: uncorrected energy -95.5 eV for the cell shown. Number 9: uncorrected energy -66.8 eV for the cell shown. Number 10: uncorrected energy -280.5 eV for the cell shown.